1.
! CaGaPb (PBE-GGA, optimized geometry); values from VASP
! * SG: P1 (1)
! * ΔE_f: -0.311 eV/atom
! * calculated density: 6.47 g/cm³
! * DFT total energy: -3.22 eV per atom
&SYSTEM
  ibrav = 0, nat = 3, ntyp = 3
/
ATOMIC_SPECIES
Ca 40.08 Ca.upf
Ga 69.72 Ga.upf
Pb 207.20 Pb.upf
ATOMIC_POSITIONS crystal
Ca 0.000 0.000 0.000
Ga 0.494 0.354 0.708
Pb 0.504 0.680 0.357
CELL_PARAMETERS angstrom
3.612 0.000 0.000
-0.001 4.642 0.000
-0.012 -2.285 4.852

2.
! Ca4GaPb2 (PBE-GGA, optimized geometry); values from VASP
! * SG: R-3m (166)
! * ΔE_f: -0.459 eV/atom
! * calculated density: 4.81 g/cm³
! * polymorph energy (0 for the lowest one): 0.000 eV per atom
! * DFT total energy: -3.09 eV per atom
&SYSTEM
  ibrav = 0, nat = 7, ntyp = 3
/
ATOMIC_SPECIES
Ca 40.08 Ca.upf
Ga 69.72 Ga.upf
Pb 207.20 Pb.upf
ATOMIC_POSITIONS crystal
Ca 0.124 0.124 0.124
Ca 0.375 0.375 0.375
Ca 0.625 0.625 0.625
Ca 0.876 0.876 0.876
Ga 0.000 0.000 0.000
Pb 0.250 0.250 0.250
Pb 0.750 0.750 0.750
CELL_PARAMETERS angstrom
2.703 1.561 8.798
-2.703 1.561 8.798
0.000 -3.121 8.798

3.
! Ca3GaPb (PBE-GGA, optimized geometry); values from VASP
! * SG: Pm-3m (221)
! * ΔE_f: 0.053 eV/atom
! * calculated density: 3.08 g/cm³
! * polymorph energy (0 for the lowest one): 0.473 eV per atom
! * DFT total energy: -2.49 eV per atom
&SYSTEM
  ibrav = 0, nat = 5, ntyp = 3
/
ATOMIC_SPECIES
Ca 40.08 Ca.upf
Ga 69.72 Ga.upf
Pb 207.20 Pb.upf
ATOMIC_POSITIONS crystal
Ca 0.000 0.000 0.500
Ca 0.000 0.500 0.000
Ca 0.500 0.000 0.000
Ga 0.500 0.500 0.500
Pb 0.000 0.000 0.000
CELL_PARAMETERS angstrom
5.980 0.000 0.000
0.000 5.980 0.000
0.000 0.000 5.980